Crystalline Mn2FeOs at its relaxed geometry, computed with PBEsol. Values from VASP.

```
&SYSTEM
  ibrav = 0, nat = 4, ntyp = 3
/
ATOMIC_SPECIES
Mn 54.94 Mn.upf
Fe 55.84 Fe.upf
Os 190.23 Os.upf
ATOMIC_POSITIONS crystal
Mn 0.250 0.750 0.500
Mn 0.750 0.250 0.500
Fe 0.000 0.000 0.000
Os 0.500 0.500 0.000
CELL_PARAMETERS angstrom
-1.794 1.794 3.557
1.794 -1.794 3.557
1.794 1.794 -3.557
```

Properties
Calculated formation energy in eV per atom: 0.04
Calculated volume in A^3/atom: 11.45